Computed, not measured: an optimized crystal structure of NaMn3Zn2O6 at the GGA+U level of DFT.

extended XYZ file:
```
12
Lattice="3.045 0.000 0.000 0.000 6.227 0.246 -1.523 -1.779 6.733" Properties=species:S:1:pos:R:3 pbc="T T T"
O 1.523 0.020 6.770
O 0.000 1.489 4.760
O 1.523 2.959 2.219
O 0.000 4.428 0.208
O 0.000 4.452 4.628
O 1.523 -0.004 2.350
Mn 0.000 4.574 2.448
Mn 1.523 3.114 0.123
Mn 1.523 -0.126 4.531
Zn 1.523 2.983 4.744
Zn 0.000 1.465 2.235
Na 1.523 0.000 0.000
```

Computed properties:
The value obtained for the uncorrected energy is -72.95 eV per cell.

=====

Computed, not measured: an optimized crystal structure of NaMn2ZnO4 at the GGA+U level of DFT.

extended XYZ file:
```
8
Lattice="4.504 0.246 0.000 -0.245 4.504 0.000 -2.129 -2.375 4.225" Properties=species:S:1:pos:R:3 pbc="T T T"
Zn 1.862 2.076 0.000
O -0.267 -0.298 2.222
O 1.862 2.077 2.003
O 4.114 2.199 0.000
O 1.739 4.328 0.000
Mn 1.984 -0.176 2.112
Mn -0.390 1.954 2.112
Na 3.991 4.451 0.000
```

Computed properties:
As for the density of states at the Fermi level: 0.30 states/eV per atom. The value obtained for the uncorrected energy is -49.22 eV per cell.

=====

Computed, not measured: an optimized crystal structure of Na2MnZn2O4 at the GGA+U level of DFT.

extended XYZ file:
```
9
Lattice="3.279 0.000 0.000 -1.639 6.273 -2.143 0.000 -3.902 7.175" Properties=species:S:1:pos:R:3 pbc="T T T"
Na 1.639 2.267 1.769
Na 0.000 0.104 3.264
O 0.000 2.514 3.524
O 1.639 -0.143 1.509
O 0.000 2.421 -0.015
O 1.639 -0.050 5.047
Zn 0.000 4.223 -0.865
Zn 1.639 -1.852 5.898
Mn 0.000 0.000 0.000
```

Computed properties:
As for the density of states at the Fermi level: 0.02 states/eV per atom. The value obtained for the uncorrected energy is -45.40 eV per cell.

=====

Size of the total moment
In order: 12.0; 9.0; 5.0
Unit: μB/cell